Entry 1:
Density functional theory data (PBE) for a geometry-optimized BaDyAgTeS2 structure.

Geometry as POSCAR:
```
BaDyAgTeS2
1.0
2.087 -7.489 0.000
2.087 7.489 0.000
0.000 0.000 11.102
Ba Dy Ag Te S
2 2 2 2 4
Direct
0.213 0.787 0.750
0.787 0.213 0.250
0.000 0.000 0.000
0.000 0.000 0.500
0.483 0.517 0.250
0.517 0.483 0.750
0.103 0.897 0.250
0.897 0.103 0.750
0.384 0.616 0.065
0.384 0.616 0.435
0.616 0.384 0.565
0.616 0.384 0.935
```



Entry 2:
Density functional theory data (PBE) for a geometry-optimized BaDyAg2Sb2 structure.

Geometry as POSCAR:
```
BaDyAg2Sb2
1.0
4.829 0.000 0.000
-2.414 4.182 0.000
0.000 0.000 8.252
Ba Dy Ag Sb
1 1 2 2
Direct
0.000 0.000 0.000
0.000 0.000 0.500
0.333 0.667 0.682
0.667 0.333 0.326
0.333 0.667 0.274
0.667 0.333 0.725
```



Entry 3:
Density functional theory data (PBE) for a geometry-optimized BaDyAgSe3 structure.

Geometry as POSCAR:
```
BaDyAgSe3
1.0
8.243 0.000 0.000
0.000 4.233 0.000
-3.055 0.000 9.651
Ba Dy Ag Se
2 2 2 6
Direct
0.249 0.250 0.286
0.751 0.750 0.714
0.307 0.750 0.846
0.693 0.250 0.154
0.086 0.250 0.595
0.914 0.750 0.405
0.072 0.250 0.854
0.274 0.750 0.551
0.447 0.750 0.140
0.553 0.250 0.860
0.726 0.250 0.449
0.928 0.750 0.146
```



Entry 4:
Density functional theory data (PBE) for a geometry-optimized BaDyAgTe2Se structure.

Geometry as POSCAR:
```
BaDyAgTe2Se
1.0
2.192 -7.568 0.000
2.192 7.568 0.000
0.000 0.000 10.961
Ba Dy Ag Te Se
2 2 2 4 2
Direct
0.238 0.762 0.750
0.762 0.238 0.250
0.500 0.500 0.000
0.500 0.500 0.500
0.028 0.972 0.250
0.972 0.028 0.750
0.141 0.859 0.050
0.141 0.859 0.450
0.859 0.141 0.550
0.859 0.141 0.950
0.427 0.573 0.250
0.573 0.427 0.750
```



Entry 5:
Density functional theory data (PBE) for a geometry-optimized BaDyAgTeSe2 structure.

Geometry as POSCAR:
```
BaDyAgTeSe2
1.0
2.131 -7.506 0.000
2.131 7.506 0.000
0.000 0.000 11.097
Ba Dy Ag Te Se
2 2 2 2 4
Direct
0.227 0.773 0.750
0.773 0.227 0.250
0.000 0.000 0.000
0.000 0.000 0.500
0.474 0.526 0.250
0.526 0.474 0.750
0.093 0.907 0.250
0.907 0.093 0.750
0.372 0.628 0.055
0.372 0.628 0.445
0.628 0.372 0.555
0.628 0.372 0.945
```



Entry 6:
Density functional theory data (PBE) for a geometry-optimized BaDyAgTe3 structure.

Geometry as POSCAR:
```
BaDyAgTe3
1.0
8.672 0.000 0.000
0.000 4.497 0.000
-3.147 0.000 10.365
Ba Dy Ag Te
2 2 2 6
Direct
0.244 0.250 0.290
0.756 0.750 0.710
0.309 0.750 0.841
0.691 0.250 0.159
0.081 0.250 0.595
0.919 0.750 0.405
0.070 0.250 0.854
0.270 0.750 0.548
0.437 0.750 0.139
0.563 0.250 0.861
0.730 0.250 0.452
0.930 0.750 0.146
```



Short version: total energy = -4.91, -4.09, -4.84, -4.54, -4.66, -4.38 eV/atom, in the order given.
Short version: total moment = 0.00, 0.00, 0.00, 0.00, 0.00, 0.00 μB/atom, in the order given.